## InMoW2 (PBE-GGA)

Data for a relaxed structure of InMoW2.

Results
VASP energy, eV per atom: -9.485
Calculated volume, Å³ per atom: 17.1
Formation enthalpy at 0 K, eV/f.u.: 1.54

Unit cell a=2.7928 b=4.4615 c=5.6657 alpha=90.00 beta=104.04 gamma=90.00
Space group Pm (No. 6)
One atom of each set of equivalent atoms:
In: 0.0000 0.0000 0.0000 [1 per cell]
Mo: 0.7104 0.5000 0.2551 [1 per cell]
W: 0.2852 0.5000 0.7360 [1 per cell]
W: 0.5012 0.0000 0.4987 [1 per cell]


## Nd4Si3Ir (PBE-GGA)

Data for a relaxed structure of Nd4Si3Ir.

Results
VASP energy, eV per atom: -6.261
Calculated volume, Å³ per atom: 24.1
ΔE_f (raw), eV/atom: -0.736

Unit cell a=3.9805 b=4.3892 c=11.0549 alpha=90.00 beta=90.00 gamma=90.00
Space group Pmm2 (No. 25)
One atom of each set of equivalent atoms:
Nd: 0.0000 0.0000 0.0000 [1 per cell]
Nd: 0.0000 0.5000 0.4923 [1 per cell]
Nd: 0.5000 0.0000 0.2780 [1 per cell]
Nd: 0.5000 0.5000 0.7815 [1 per cell]
Si: 0.0000 0.0000 0.7027 [1 per cell]
Si: 0.0000 0.5000 0.2028 [1 per cell]
Si: 0.5000 0.0000 0.5663 [1 per cell]
Ir: 0.5000 0.5000 0.0673 [1 per cell]


## LaNb3C (PBE-GGA)

Data for a relaxed structure of LaNb3C.

Results
Distance to the lowest polymorph of the same formula, eV/atom: 0.000
VASP energy, eV per atom: -8.664
Calculated volume, Å³ per atom: 18.5
Formation enthalpy at 0 K, eV/f.u.: 1.04

Unit cell a=4.5226 b=4.5226 c=4.5226 alpha=90.00 beta=90.00 gamma=90.00
Space group Pm-3m (No. 221)
One atom of each set of equivalent atoms:
La: 0.0000 0.0000 0.0000 [1 per cell]
Nb: 0.0000 0.5000 0.5000 [3 per cell]
C: 0.5000 0.5000 0.5000 [1 per cell]


## HfMgB2 (PBE-GGA)

Data for a relaxed structure of HfMgB2.

Results
VASP energy, eV per atom: -5.651
Calculated volume, Å³ per atom: 14.2
Formation enthalpy at 0 K, eV/f.u.: 2.30

Unit cell a=6.2322 b=6.2322 c=5.8358 alpha=90.00 beta=90.00 gamma=90.00
Space group I-42d (No. 122)
One atom of each set of equivalent atoms:
Hf: 0.0000 0.0000 0.0000 [4 per cell]
Mg: 0.0000 0.0000 0.5000 [4 per cell]
B: 0.2435 0.2500 0.6250 [8 per cell]


## ZrCr (PBE-GGA)

Data for a relaxed structure of ZrCr.

Results
VASP energy, eV per atom: -8.674
Calculated volume, Å³ per atom: 19.0
Formation enthalpy at 0 K, eV/f.u.: 0.82

Unit cell a=8.9911 b=8.9911 c=3.2590 alpha=90.00 beta=90.00 gamma=120.00
Space group P6_3/mmc (No. 194)
One atom of each set of equivalent atoms:
Zr: 0.1723 0.3446 0.2500 [6 per cell]
Cr: 0.0993 0.5497 0.7500 [6 per cell]


## ThPbC (PBE-GGA)

Data for a relaxed structure of ThPbC.

Results
VASP energy, eV per atom: -6.888
Calculated volume, Å³ per atom: 24.3
Formation enthalpy at 0 K, eV/f.u.: -0.31

Unit cell a=6.3977 b=4.8985 c=9.3464 alpha=90.00 beta=94.80 gamma=90.00
Space group C2/m (No. 12)
One atom of each set of equivalent atoms:
Th: 0.2137 0.0000 0.1510 [4 per cell]
Pb: 0.2379 0.0000 0.5993 [4 per cell]
C: 0.0000 0.3519 0.0000 [4 per cell]


## HoInCu (PBE-GGA)

Data for a relaxed structure of HoInCu.

Results
VASP energy, eV per atom: -4.202
Calculated volume, Å³ per atom: 21.3
Formation enthalpy at 0 K, eV/f.u.: -1.19

Unit cell a=13.0218 b=3.9235 c=7.4914 alpha=90.00 beta=90.00 gamma=90.00
Space group Pmma (No. 51)
One atom of each set of equivalent atoms:
Ho: 0.0452 0.0000 0.2283 [4 per cell]
Ho: 0.2500 0.0000 0.8512 [2 per cell]
In: 0.1195 0.5000 0.5701 [4 per cell]
In: 0.2500 0.5000 0.1918 [2 per cell]
Cu: 0.0903 0.5000 0.9423 [4 per cell]
Cu: 0.2500 0.0000 0.4429 [2 per cell]


## Y2Mg3Hg4 (PBE-GGA)

Data for a relaxed structure of Y2Mg3Hg4.

Results
Distance to the lowest polymorph of the same formula, eV/atom: 0.042
VASP energy, eV per atom: -2.427
Calculated volume, Å³ per atom: 23.7
Formation enthalpy at 0 K, eV/f.u.: -2.93

Unit cell a=6.3073 b=16.7760 c=8.0659 alpha=90.00 beta=90.00 gamma=90.00
Space group Cmce (No. 64)
One atom of each set of equivalent atoms:
Y: 0.0000 0.1017 0.0914 [8 per cell]
Mg: 0.0000 0.0000 0.5000 [4 per cell]
Mg: 0.2500 0.2291 0.7500 [8 per cell]
Hg: 0.0000 0.1710 0.4613 [8 per cell]
Hg: 0.2500 0.0579 0.7500 [8 per cell]


## SbSNO2 (PBE-GGA)

Data for a relaxed structure of SbSNO2.

Results
VASP energy, eV per atom: -4.798
Calculated volume, Å³ per atom: 13.0
ΔE_f (raw), eV/atom: 0.500

Unit cell a=3.8659 b=3.8659 c=4.3577 alpha=90.00 beta=90.00 gamma=90.00
Space group P4/mmm (No. 123)
One atom of each set of equivalent atoms:
Sb: 0.0000 0.0000 0.0000 [1 per cell]
S: 0.5000 0.5000 0.5000 [1 per cell]
N: 0.0000 0.0000 0.5000 [1 per cell]
O: 0.0000 0.5000 0.0000 [2 per cell]


## CrHS2 (PBE-GGA)

Data for a relaxed structure of CrHS2.

Results
Distance to the lowest polymorph of the same formula, eV/atom: 1.336
VASP energy, eV per atom: -4.435
Calculated volume, Å³ per atom: 12.3

Unit cell a=2.8484 b=2.8484 c=20.9965 alpha=90.00 beta=90.00 gamma=120.00
Space group R-3m (No. 166, hexagonal axes)
One atom of each set of equivalent atoms:
Cr: 0.0000 0.0000 0.0000 [3 per cell]
H: 0.0000 0.0000 0.5000 [3 per cell]
S: 0.0000 0.0000 0.1017 [6 per cell]


N(E_F) for the records above, in order: 2.53 7.38 5.06 0.54 2.61 2.11 1.51 6.35 2.04 4.57 states/eV/f.u.